1.
# Ba3Tl6CdPb2, relaxed, DFT PBE-GGA
data_Ba3Tl6CdPb2
_symmetry_space_group_name_H-M 'P -3 m 1'
_symmetry_Int_Tables_number 164
_symmetry_space_group_name_Hall '-P 3 2"'
_cell_length_a 6.6685
_cell_length_b 6.6685
_cell_length_c 10.9398
_cell_angle_alpha 90.00
_cell_angle_beta 90.00
_cell_angle_gamma 120.00
loop_
_atom_site_label
_atom_site_fract_x
_atom_site_fract_y
_atom_site_fract_z
Ba1 0.0000 0.0000 0.0000
Ba2 0.3333 0.6667 0.5915
Tl1 0.1725 0.3450 0.2699
Cd1 0.0000 0.0000 0.5000
Pb1 0.3333 0.6667 0.0015
# DOS at the Fermi energy, states/eV/f.u.: 7.9
# V, Å³/cell: 421.3
# DFT total energy, eV for the cell shown: -30.49
# ΔE_f, eV per atom: -0.18

2.
# Ba2Tl4Cd3Pb, relaxed, DFT PBE-GGA
data_Ba2Tl4Cd3Pb
_symmetry_space_group_name_H-M 'P -4 m 2'
_symmetry_Int_Tables_number 115
_cell_length_a 5.108
_cell_length_b 5.108
_cell_length_c 12.470
_cell_angle_alpha 90.00
_cell_angle_beta 90.00
_cell_angle_gamma 90.00
loop_
_symmetry_equiv_pos_as_xyz
'x,y,z'
'y,-x,-z'
'-x,-y,z'
'-y,x,-z'
'-x,y,z'
'-y,-x,-z'
'x,-y,z'
'y,x,-z'
loop_
_atom_site_label
_atom_site_fract_x
_atom_site_fract_y
_atom_site_fract_z
Ba1 0.000 0.500 0.250
Tl1 0.000 0.000 0.000
Tl2 0.000 0.500 0.641
Tl3 0.500 0.500 0.000
Cd1 0.000 0.500 0.872
Cd2 0.500 0.500 0.500
Pb1 0.000 0.000 0.500
# DOS at the Fermi energy, states/eV/f.u.: 4.1
# V, Å³/cell: 325.4
# DFT total energy, eV for the cell shown: -22.30
# ΔE_f, eV per atom: -0.25

Question: What is the DFT total energy in the second record?
Answer: -22.30 eV for the cell shown

Question: What is the formula in the first record?
Answer: Ba3Tl6CdPb2

Question: V of number 1 (Ba3Tl6CdPb2)?
Answer: 421.3 Å³/cell